Arrangement P

# Cs6KRb12

A relaxed Cs6KRb12 crystal (GGA-PBE, the Alexandria database).

The structure belongs to space group R-3 (No. 148, hexagonal axes); the cell edges are 17.9108, 17.9108 and 20.5236 Å and the angles 90.00°, 90.00° and 120.00°. Symmetry generates all atoms from Cs at (0.0297, 0.4367, 0.2143), K at (0.0000, 0.0000, 0.5000), Rb at (0.0457, 0.1799, 0.3088) and Rb at (0.0658, 0.8679, 0.9049).

Its volume is 5701.9 Å³ per cell.

***

Arrangement Q

# Cs6KRb12

A relaxed Cs6KRb12 crystal (GGA-PBE, the Alexandria database).

The structure belongs to space group R-3m (No. 166, hexagonal axes); the cell edges are 15.2194, 15.2194 and 28.2094 Å and the angles 90.00°, 90.00° and 120.00°. Symmetry generates all atoms from Cs at (0.0766, 0.5383, 0.3905), K at (0.0000, 0.0000, 0.0000), Rb at (0.1064, 0.2128, 0.4177) and Rb at (0.1058, 0.5529, 0.7910).

Its volume is 5658.7 Å³ per cell.

***

Energy comparison, zero being the most stable, in meV per atom: arrangement P 9; arrangement Q 0.

***

Arrangement P

# Cs4KRb

A relaxed Cs4KRb crystal (GGA-PBE, the Alexandria database).

The structure belongs to space group F-43m (No. 216); the cell edges are 13.735, 13.735 and 13.735 Å and the angles 90.00°, 90.00° and 90.00°. Symmetry generates all atoms from Cs at (0.125, 0.125, 0.125), K at (0.000, 0.000, 0.500) and Rb at (0.250, 0.250, 0.750).

Its volume is 2590.9 Å³ per cell.

***

Arrangement Q

# Cs4KRb

A relaxed Cs4KRb crystal (GGA-PBE, the Alexandria database).

The structure belongs to space group P2_1/m (No. 11); the cell edges are 8.432, 10.153 and 14.555 Å and the angles 90.00°, 90.15° and 90.00°. Symmetry generates all atoms from Cs at (0.248, 0.250, 0.420), Cs at (0.249, 0.000, 0.745), Cs at (0.250, 0.750, 0.087), K at (0.251, 0.750, 0.417) and Rb at (0.250, 0.250, 0.082).

Its volume is 1246.1 Å³ per cell.

***

Energy comparison, zero being the most stable, in meV per atom: arrangement P 54; arrangement Q 0.

***

Arrangement P

# Cs3K7Rb2

A relaxed Cs3K7Rb2 crystal (GGA-PBE, the Alexandria database).

The structure belongs to space group R-3m (No. 166, hexagonal axes); the cell edges are 9.0256, 9.0256 and 45.2506 Å and the angles 90.00°, 90.00° and 120.00°. Symmetry generates all atoms from Cs at (0.0000, 0.0000, 0.0000), Cs at (0.0000, 0.0000, 0.1431), K at (0.0000, 0.0000, 0.5000), K at (0.0034, 0.5017, 0.9138) and Rb at (0.0000, 0.0000, 0.3338).

Its volume is 3192.3 Å³ per cell.

***

Arrangement Q

# Cs3K7Rb2

A relaxed Cs3K7Rb2 crystal (GGA-PBE, the Alexandria database).

The structure belongs to space group P2/m (No. 10); the cell edges are 7.783, 5.200 and 26.023 Å and the angles 90.00°, 98.02° and 90.00°. Symmetry generates all atoms from Cs at (0.000, 0.000, 0.000), Cs at (0.321, 0.500, 0.635), K at (0.104, 0.500, 0.147), K at (0.231, 0.000, 0.462), K at (0.397, 0.000, 0.838), K at (0.500, 0.500, 0.000) and Rb at (0.142, 0.000, 0.288).

Its volume is 1043.0 Å³ per cell.

***

Energy comparison, zero being the most stable, in meV per atom: arrangement P 0; arrangement Q 12.

***

Arrangement P

# Cs2KRb3

A relaxed Cs2KRb3 crystal (GGA-PBE, the Alexandria database).

The structure belongs to space group C2/c (No. 15); the cell edges are 23.913, 9.785 and 10.183 Å and the angles 90.00°, 101.78° and 90.00°. Symmetry generates all atoms from Cs at (0.175, 0.011, 0.100), K at (0.000, 0.243, 0.750), Rb at (0.000, 0.224, 0.250) and Rb at (0.136, 0.490, 0.558).

Its volume is 2332.4 Å³ per cell.

***

Arrangement Q

# Cs2KRb3

A relaxed Cs2KRb3 crystal (GGA-PBE, the Alexandria database).

The structure belongs to space group C2/m (No. 12); the cell edges are 16.056, 9.485 and 9.389 Å and the angles 90.00°, 124.71° and 90.00°. Symmetry generates all atoms from Cs at (0.126, 0.000, 0.375), K at (0.000, 0.500, 0.000), Rb at (0.000, 0.500, 0.500) and Rb at (0.250, 0.250, 0.000).

Its volume is 1175.4 Å³ per cell.

***

Energy comparison, zero being the most stable, in meV per atom: arrangement P 17; arrangement Q 0.